1.
Computed, not measured: SrMn3Os after structural relaxation at the PBE level of DFT.

Properties
- excess energy over the best structure of this formula in the dataset (meV per atom) = 1908.5
- crystal system = cubic
- ΔE_f (eV per atom) = 2.64
- space group = Pm-3m (221)

Cell lengths 4.661, 4.661, 4.661 Å; angles 90.00, 90.00, 90.00 degrees
Element x y z (fractional)
Sr (0.000, 0.000, 0.000)
Mn (0.000, 0.500, 0.000)
Mn (0.000, 0.000, 0.500)
Mn (0.500, 0.000, 0.000)
Os (0.500, 0.500, 0.500)

2.
Computed, not measured: SrMn2Os after structural relaxation at the PBE level of DFT.

Properties
- excess energy over the best structure of this formula in the dataset (meV per atom) = 663.3
- crystal system = cubic
- ΔE_f (eV per atom) = 1.01
- space group = F-43m (216)

Cell lengths 4.747, 4.747, 4.747 Å; angles 120.06, 120.06, 89.89 degrees
Element x y z (fractional)
Mn (0.000, 0.000, 0.000)
Mn (0.250, 0.750, 0.500)
Os (0.500, 0.500, 0.000)
Sr (0.750, 0.250, 0.500)

3.
Computed, not measured: SrMn3Os after structural relaxation at the PBE level of DFT.

Properties
- excess energy over the best structure of this formula in the dataset (meV per atom) = 0.0
- crystal system = cubic
- ΔE_f (eV per atom) = 0.73
- space group = Pm-3m (221)

Cell lengths 4.872, 4.872, 4.872 Å; angles 90.00, 90.00, 90.00 degrees
Element x y z (fractional)
Sr (0.500, 0.500, 0.500)
Mn (0.000, 0.500, 0.000)
Mn (0.000, 0.000, 0.500)
Mn (0.500, 0.000, 0.000)
Os (0.000, 0.000, 0.000)

4.
Computed, not measured: SrMnOs4 after structural relaxation at the PBE level of DFT.

Properties
- crystal system = cubic
- ΔE_f (eV per atom) = 0.59
- space group = F-43m (216)

Cell lengths 5.318, 5.318, 5.318 Å; angles 60.00, 60.00, 60.00 degrees
Element x y z (fractional)
Sr (0.750, 0.750, 0.750)
Mn (0.000, 0.000, 0.000)
Os (0.877, 0.374, 0.374)
Os (0.374, 0.374, 0.877)
Os (0.374, 0.877, 0.374)
Os (0.374, 0.374, 0.374)

Which of these has the highest ΔE_f?
number 1

Which formula does entry 3 have?
SrMn3Os

Among the records above, which one has the highest ΔE_f?
number 1

Look up the ΔE_f of the fourth one.
0.59 eV per atom